Record 1
VASP calculation (PBE-GGA) on crystalline SrMgInO2 at its relaxed geometry.

Cell and atoms, written as extended XYZ:
```
5
Lattice="4.3887 0.0000 0.0000 0.0000 6.2679 0.0000 0.0000 0.0000 4.3887" Properties=species:S:1:pos:R:3 pbc="T T T"
Mg 2.1943 3.1340 2.1943
In 0.0000 0.0000 0.0000
O 2.1943 0.0000 0.0000
O 0.0000 0.0000 2.1943
Sr 0.0000 3.1340 0.0000
```

Output
* final energy: -3.248 eV per atom
* SG: P4/mmm (123)
* V: 120.7 Å³ per cell
* formation energy from raw total energies: -0.3 eV per formula unit
* DOS(E_F): 2.5 states/eV/f.u.


Record 2
VASP calculation (PBE-GGA) on crystalline K8Rb3Na2 at its relaxed geometry.

Cell and atoms, written as extended XYZ:
```
13
Lattice="-4.7274 2.5081 4.2239 -7.4184 -4.1283 -5.8513 -1.7114 -12.3353 5.4096" Properties=species:S:1:pos:R:3 pbc="T T T"
K -10.2879 -10.6985 0.3409
K -6.6563 -3.1170 -0.0967
K -6.5263 -6.6153 -3.3758
Na -8.0751 -6.8620 0.5398
Rb -2.3637 1.2541 2.1119
Na -5.7821 -7.0935 3.2425
K -5.7985 -10.0844 -0.5011
Rb -6.9871 -14.4282 0.7477
K -7.3309 -7.3401 7.1580
Rb -6.8701 0.4727 3.0345
K -3.5693 -3.2569 3.4413
K -7.2010 -10.8384 3.8789
K -8.0587 -3.8710 4.2833
```

Output
* final energy: -1.080 eV per atom
* SG: P2/m (10)
* calculated formation energy: 0.022 eV per atom
* V: 929.2 Å³ per cell
* DOS(E_F): 8.4 states/eV/f.u.


Record 3
VASP calculation (PBE-GGA) on crystalline Ce14PuMg at its relaxed geometry.

Cell and atoms, written as extended XYZ:
```
16
Lattice="-5.4386 -2.9974 -2.3733 1.7745 -5.6318 3.0544 -4.7796 2.6316 7.6290" Properties=species:S:1:pos:R:3 pbc="T T T"
Ce -2.7385 -3.3178 8.0930
Ce -3.9018 -3.3381 1.5777
Ce -3.3201 -3.3281 4.8336
Ce -0.3356 -4.6408 4.2576
Ce -4.2074 -0.5109 3.3059
Ce -6.9267 -2.0109 2.1197
Ce -5.4268 -4.8003 6.9187
Ce -3.0251 -6.1227 3.0852
Ce -6.0404 -4.8277 3.6466
Ce -1.8195 -1.8288 -0.5091
Ce -1.2134 -1.8559 2.7484
Pu -4.5368 -3.3267 -1.6948
Mg -0.9308 -4.6438 1.0187
Ce -6.3016 -2.0168 5.4083
Ce -3.6505 -6.1408 -0.1687
Ce -3.6151 -0.5335 6.5820
```

Output
* final energy: -6.156 eV per atom
* SG: P4/mmm (123)
* calculated formation energy: 0.032 eV per atom
* V: 414.5 Å³ per cell
* DOS(E_F): 38.1 states/eV/f.u.


Record 4
VASP calculation (PBE-GGA) on crystalline Li2La2Ti3O10 at its relaxed geometry.

Cell and atoms, written as extended XYZ:
```
17
Lattice="13.6557 -0.0002 0.0000 12.5551 5.3709 0.0000 -13.1054 -2.6853 2.7413" Properties=species:S:1:pos:R:3 pbc="T T T"
O 9.6448 0.5771 1.3707
La 10.9743 2.2487 0.0000
O 1.9038 0.3901 0.0000
O 20.3255 4.1648 0.0000
O 3.4606 2.1082 1.3707
La 15.2365 3.1220 0.0000
O 4.0109 -0.5773 1.3707
Li 6.2776 2.6854 1.3707
O 0.2751 -1.3428 1.3707
O -0.2751 1.3428 1.3707
Ti 4.1336 0.8470 0.0000
Ti 0.0000 0.0000 0.0000
O 24.3070 4.9806 0.0000
Li 6.8278 -0.0001 1.3707
Ti 22.0773 4.5237 0.0000
O 9.0945 3.2626 1.3707
O 5.8854 1.2059 0.0000
```

Output
* final energy: -8.185 eV per atom
* SG: I4/mmm (139)
* V: 201.1 Å³ per cell
* formation energy from raw total energies: -52.2 eV per formula unit
* DOS(E_F): 0.0 states/eV/f.u.


Record 5
VASP calculation (PBE-GGA) on crystalline BeNiSe at its relaxed geometry.

Cell and atoms, written as extended XYZ:
```
6
Lattice="-1.4890 -2.2816 -2.5579 -2.8946 -5.1120 4.4291 -1.6488 3.8217 1.2307" Properties=species:S:1:pos:R:3 pbc="T T T"
Be -3.1553 -1.2213 3.7531
Ni -2.4385 -3.6963 0.9001
Ni -3.7961 -4.8761 2.7423
Se -5.5815 -3.3812 3.3560
Be -2.3165 -3.1504 3.1381
Se -3.4886 -1.5618 0.5166
```

Output
* final energy: -4.522 eV per atom
* SG: P1 (1)
* V: 93.0 Å³ per cell
* formation energy from raw total energies: -0.6 eV per formula unit
* DOS(E_F): 2.6 states/eV/f.u.


Record 6
VASP calculation (PBE-GGA) on crystalline La2NdDy2Y2 at its relaxed geometry.

Cell and atoms, written as extended XYZ:
```
7
Lattice="5.1337 0.0000 0.0000 -2.5669 5.7276 0.2626 0.0000 -1.5272 7.9976" Properties=species:S:1:pos:R:3 pbc="T T T"
Y 0.0000 1.9444 7.0320
La 2.5669 3.2304 4.7673
Dy 2.5669 -0.2858 5.7696
Dy 0.0000 4.4861 2.4906
Nd 0.0000 0.0000 0.0000
La 0.0000 0.9699 3.4928
Y 2.5669 2.2559 1.2282
```

Output
* final energy: -5.223 eV per atom
* SG: C2/m (12)
* calculated formation energy: 0.028 eV per atom
* V: 237.2 Å³ per cell
* DOS(E_F): 11.5 states/eV/f.u.